Th5Cd2Re2 | PBE | optimized geometry

Lattice parameters (Å, degrees): 7.8776 7.9891 9.1089 90.00 64.38 90.00
Last column: nearest neighbours and their distance in Å.
Element x y z (fractional)
1 Th 0.7244 0.3365 0.2276  3 Re 2.94-3.03
2 Th 0.4520 0.1635 0.7724  3 Re 2.94-3.03
3 Th 0.0480 0.6635 0.2276  3 Re 2.94-3.03
4 Th 0.5480 0.8365 0.2276  3 Re 2.94-3.03
5 Th 0.5000 0.5000 0.0000  4 Re 3.06-3.11
6 Th 0.2756 0.6635 0.7724  3 Re 2.94-3.03
7 Th 0.2244 0.1635 0.2276  3 Re 2.94-3.03
8 Th 0.7756 0.8365 0.7724  3 Re 2.94-3.03
9 Th 0.0000 0.0000 0.0000  4 Re 3.06-3.11
10 Th 0.9520 0.3365 0.7724  3 Re 2.94-3.03
11 Re 0.3636 0.8655 0.0000  8 Th 2.94-3.11, 1 Re 3.04
12 Re 0.6364 0.1345 0.0000  8 Th 2.94-3.11, 1 Re 3.04
13 Re 0.8636 0.6345 0.0000  8 Th 2.94-3.11, 1 Re 3.04
14 Re 0.1364 0.3655 0.0000  8 Th 2.94-3.11, 1 Re 3.04
15 Cd 0.2160 0.0000 0.5680  7 Th 3.34-3.55
16 Cd 0.7160 0.5000 0.5680  7 Th 3.34-3.55
17 Cd 0.7840 0.0000 0.4320  7 Th 3.34-3.55
18 Cd 0.2840 0.5000 0.4320  7 Th 3.34-3.55

Properties
**Total magnetization**: 0.00 μB per formula unit
**ΔE_f**: -0.05 eV per atom
**Density of states at the Fermi level**: 15.1 states/eV/cell
**SG**: Cmce